## P
Below is crystalline PW2Cl at its relaxed geometry, with properties calculated at the GGA-PBE level.

Calculated values
Calculated density, g cm⁻³: 9.40
Total magnetic moment, μB/atom: 0.0001
Calculated volume, Å³/atom: 19.174
Space group: I-42d (122)

a = 5.6739 Å, b = 5.6739 Å, c = 6.2289 Å
α = 62.91°, β = 62.91°, γ = 90.00°
Closest atoms and distances in Å follow each position.
Fractional positions:
W (0.8750, 0.8770, 0.7500)  2 Cl 2.33, 2 P 2.34
W (0.6270, 0.1250, 0.2500)  2 Cl 2.33, 2 P 2.34
W (0.3750, 0.3730, 0.7500)  2 Cl 2.33, 2 P 2.34
W (0.1230, 0.6250, 0.2500)  2 Cl 2.33, 2 P 2.34
P (0.5000, 0.5000, 0.0000)  4 W 2.34
P (0.2500, 0.7500, 0.5000)  4 W 2.34
Cl (0.0000, 0.0000, 0.0000)  4 W 2.33
Cl (0.7500, 0.2500, 0.5000)  4 W 2.33

=====

## Q
Below is crystalline PW2Cl at its relaxed geometry, with properties calculated at the GGA-PBE level.

Calculated values
Calculated density, g cm⁻³: 9.64
Total magnetic moment, μB/atom: 0.0000
Calculated volume, Å³/atom: 18.698
Space group: Cmm2 (35)

a = 2.8739 Å, b = 2.8739 Å, c = 9.5618 Å
α = 90.00°, β = 90.00°, γ = 108.73°
Closest atoms and distances in Å follow each position.
Fractional positions:
W (0.5000, 0.5000, 0.2342)  2 Cl 2.56, 2 W 2.74
W (0.0000, 0.0000, 0.0080)  2 P 2.45, 2 W 2.74
P (0.5000, 0.5000, 0.8210)  2 W 2.45
Cl (0.0000, 0.0000, 0.4368)  2 W 2.56

=====

Q takes first place; second place is 0.761 eV/atom up.